## FeTcSnO2 (GGA+U)

Data for a relaxed structure of FeTcSnO2.

abc: 3.8876 3.8876 5.4530
angles: 90.00 90.00 90.00
Closest atoms and distances in Å follow each position.
Space group P4/mmm (No. 123)
Asymmetric unit:
Fe1 0.0000 0.0000 0.0000 (multiplicity 1)  2 Tc 2.73, 4 Sn 2.75
Tc1 0.0000 0.0000 0.5000 (multiplicity 1)  4 O 1.94
Sn1 0.5000 0.5000 0.0000 (multiplicity 1)  4 Fe 2.75
O1 0.0000 0.5000 0.5000 (multiplicity 2)  2 Tc 1.94

Properties
The value obtained for the magnetic moment is 3.240 μB/f.u. The uncorrected energy comes out at -6.338 eV/atom. For the density, the calculation gives 6.14 Mg/m³. The calculation puts the volume at 16.48 Å³ per atom.